[1]
Th4SbTe2P | PBE | optimized geometry

abc: 7.637 4.346 7.743
angles: 90.00 108.84 90.00
Element x y z (fractional)
Th (0.215, 0.000, 0.213)
Th (0.229, 0.500, 0.774)
Th (0.771, 0.500, 0.226)
Th (0.785, 0.000, 0.787)
Sb (0.500, 0.000, 0.000)
Te (0.000, 0.000, 0.500)
Te (0.500, 0.500, 0.500)
P (0.000, 0.500, 0.000)

Summary:
Crystal system = monoclinic
Total DFT energy (no corrections) = -6.837 eV per atom
Raw formation energy = -1.15 eV per atom
Magnetic moment = 0.0 μB per formula unit


[2]
TaAuNO2 | PBE | optimized geometry

abc: 3.905 3.905 4.325
angles: 90.00 90.00 90.00
Element x y z (fractional)
Ta (0.000, 0.000, 0.000)
Au (0.500, 0.500, 0.500)
N (0.000, 0.000, 0.500)
O (0.000, 0.500, 0.000)
O (0.500, 0.000, 0.000)

Summary:
Crystal system = tetragonal
Total DFT energy (no corrections) = -7.479 eV per atom
Raw formation energy = -0.80 eV per atom
Magnetic moment = 0.0 μB per formula unit